A plane-wave DFT calculation with GGA-PBE was carried out for a geometry-optimized Ca4H5N structure.

Lattice parameters (Å, degrees): 3.602 6.568 7.441 116.13 104.01 90.00
Positions (direct):
N  0.500  0.000  0.000
H  0.822  0.593  0.645
Ca  0.306  0.806  0.612
H  0.178  0.407  0.355
H  0.822  0.050  0.644
H  0.500  0.500  0.000
Ca  0.000  0.759  0.000
H  0.178  0.950  0.356
Ca  0.000  0.241  0.000
Ca  0.694  0.194  0.388

Computed properties:
**Density**: 1.957 g/cm³
**Offset from the most stable computed form**: 0.00 eV/f.u.